VASP calculation (GGA-PBEsol) on NiS2 after structural relaxation.

Summary:
**Symmetry**: C2/m (12)
**E_form (uncorrected)**: -0.28 eV per atom

The structure in CIF format:
```
data_NiS2
_chemical_formula_sum 'Ni1 S2'
_cell_length_a 3.3460
_cell_length_b 3.3460
_cell_length_c 5.5524
_cell_angle_alpha 107.38
_cell_angle_beta 107.38
_cell_angle_gamma 59.91
_space_group_name_H-M_alt 'P 1'
_space_group_IT_number 1
_space_group_name_Hall 'P 1'
loop_
_atom_site_label
_atom_site_type_symbol
_atom_site_fract_x
_atom_site_fract_y
_atom_site_fract_z
_atom_site_occupancy
Ni1 Ni 0.0000 0.0000 0.0000 1
S1 S 0.4049 0.4049 0.2172 1
S2 S 0.5951 0.5951 0.7828 1
```



VASP calculation (GGA-PBEsol) on NiS2 after structural relaxation.

Summary:
**Symmetry**: Pbcn (60)
**E_form (uncorrected)**: -0.28 eV per atom

The structure in CIF format:
```
data_NiS2
_chemical_formula_sum 'Ni4 S8'
_cell_length_a 4.4345
_cell_length_b 6.4507
_cell_length_c 6.0571
_cell_angle_alpha 90.00
_cell_angle_beta 90.00
_cell_angle_gamma 90.00
_space_group_name_H-M_alt 'P 1'
_space_group_IT_number 1
_space_group_name_Hall 'P 1'
loop_
_atom_site_label
_atom_site_type_symbol
_atom_site_fract_x
_atom_site_fract_y
_atom_site_fract_z
_atom_site_occupancy
Ni1 Ni 0.0000 0.1487 0.2500 1
Ni2 Ni 0.0000 0.8513 0.7500 1
Ni3 Ni 0.5000 0.3513 0.7500 1
Ni4 Ni 0.5000 0.6487 0.2500 1
S1 S 0.1957 0.4120 0.0477 1
S2 S 0.1957 0.5880 0.5477 1
S3 S 0.3043 0.0880 0.5477 1
S4 S 0.3043 0.9120 0.0477 1
S5 S 0.6957 0.0880 0.9523 1
S6 S 0.6957 0.9120 0.4523 1
S7 S 0.8043 0.4120 0.4523 1
S8 S 0.8043 0.5880 0.9523 1
```



VASP calculation (GGA-PBEsol) on NiS2 after structural relaxation.

Summary:
**Symmetry**: Pa-3 (205)
**E_form (uncorrected)**: -0.36 eV per atom

The structure in CIF format:
```
data_NiS2
_chemical_formula_sum 'Ni4 S8'
_cell_length_a 5.5153
_cell_length_b 5.5153
_cell_length_c 5.5153
_cell_angle_alpha 90.00
_cell_angle_beta 90.00
_cell_angle_gamma 90.00
_space_group_name_H-M_alt 'P 1'
_space_group_IT_number 1
_space_group_name_Hall 'P 1'
loop_
_atom_site_label
_atom_site_type_symbol
_atom_site_fract_x
_atom_site_fract_y
_atom_site_fract_z
_atom_site_occupancy
Ni1 Ni 0.0000 0.0000 0.0000 1
Ni2 Ni 0.0000 0.5000 0.5000 1
Ni3 Ni 0.5000 0.0000 0.5000 1
Ni4 Ni 0.5000 0.5000 0.0000 1
S1 S 0.1093 0.6093 0.8907 1
S2 S 0.1093 0.8907 0.3907 1
S3 S 0.3907 0.1093 0.8907 1
S4 S 0.3907 0.3907 0.3907 1
S5 S 0.6093 0.6093 0.6093 1
S6 S 0.6093 0.8907 0.1093 1
S7 S 0.8907 0.1093 0.6093 1
S8 S 0.8907 0.3907 0.1093 1
```



VASP calculation (GGA-PBEsol) on NiS2 after structural relaxation.

Summary:
**Symmetry**: Fd-3m (227)
**E_form (uncorrected)**: -0.29 eV per atom

The structure in CIF format:
```
data_NiS2
_chemical_formula_sum 'Ni4 S8'
_cell_length_a 6.5722
_cell_length_b 6.5722
_cell_length_c 6.5722
_cell_angle_alpha 60.00
_cell_angle_beta 60.00
_cell_angle_gamma 60.00
_space_group_name_H-M_alt 'P 1'
_space_group_IT_number 1
_space_group_name_Hall 'P 1'
loop_
_atom_site_label
_atom_site_type_symbol
_atom_site_fract_x
_atom_site_fract_y
_atom_site_fract_z
_atom_site_occupancy
Ni1 Ni 0.0000 0.0000 0.0000 1
Ni2 Ni 0.0000 0.0000 0.5000 1
Ni3 Ni 0.0000 0.5000 0.0000 1
Ni4 Ni 0.5000 0.0000 0.0000 1
S1 S 0.2184 0.7605 0.7605 1
S2 S 0.2395 0.2395 0.2395 1
S3 S 0.2395 0.2395 0.7816 1
S4 S 0.2395 0.7816 0.2395 1
S5 S 0.7605 0.2184 0.7605 1
S6 S 0.7605 0.7605 0.2184 1
S7 S 0.7605 0.7605 0.7605 1
S8 S 0.7816 0.2395 0.2395 1
```



VASP calculation (GGA-PBEsol) on Ni3S after structural relaxation.

Summary:
**Symmetry**: I4/mmm (139)
**E_form (uncorrected)**: 0.07 eV per atom

The structure in CIF format:
```
data_Ni3S
_chemical_formula_sum 'Ni3 S1'
_cell_length_a 4.3168
_cell_length_b 4.3168
_cell_length_c 4.3168
_cell_angle_alpha 132.69
_cell_angle_beta 132.69
_cell_angle_gamma 69.14
_space_group_name_H-M_alt 'P 1'
_space_group_IT_number 1
_space_group_name_Hall 'P 1'
loop_
_atom_site_label
_atom_site_type_symbol
_atom_site_fract_x
_atom_site_fract_y
_atom_site_fract_z
_atom_site_occupancy
Ni1 Ni 0.0000 0.0000 0.0000 1
Ni2 Ni 0.2500 0.7500 0.5000 1
Ni3 Ni 0.7500 0.2500 0.5000 1
S1 S 0.5000 0.5000 0.0000 1
```



VASP calculation (GGA-PBEsol) on NiS2 after structural relaxation.

Summary:
**Symmetry**: Pnma (62)
**E_form (uncorrected)**: -0.31 eV per atom

The structure in CIF format:
```
data_NiS2
_chemical_formula_sum 'Ni4 S8'
_cell_length_a 9.1853
_cell_length_b 3.5402
_cell_length_c 5.4287
_cell_angle_alpha 90.00
_cell_angle_beta 90.00
_cell_angle_gamma 90.00
_space_group_name_H-M_alt 'P 1'
_space_group_IT_number 1
_space_group_name_Hall 'P 1'
loop_
_atom_site_label
_atom_site_type_symbol
_atom_site_fract_x
_atom_site_fract_y
_atom_site_fract_z
_atom_site_occupancy
Ni1 Ni 0.1367 0.2500 0.1533 1
Ni2 Ni 0.3633 0.7500 0.6533 1
Ni3 Ni 0.6367 0.2500 0.3467 1
Ni4 Ni 0.8633 0.7500 0.8467 1
S1 S 0.0321 0.2500 0.7790 1
S2 S 0.2159 0.2500 0.5448 1
S3 S 0.2841 0.7500 0.0448 1
S4 S 0.4679 0.7500 0.2790 1
S5 S 0.5321 0.2500 0.7210 1
S6 S 0.7159 0.2500 0.9552 1
S7 S 0.7841 0.7500 0.4552 1
S8 S 0.9679 0.7500 0.2210 1
```



VASP calculation (GGA-PBEsol) on NiSbS after structural relaxation.

Summary:
**Symmetry**: P2_13 (198)
**E_form (uncorrected)**: -0.40 eV per atom

The structure in CIF format:
```
data_NiSbS
_chemical_formula_sum 'Ni4 Sb4 S4'
_cell_length_a 5.8531
_cell_length_b 5.8531
_cell_length_c 5.8531
_cell_angle_alpha 90.00
_cell_angle_beta 90.00
_cell_angle_gamma 90.00
_space_group_name_H-M_alt 'P 1'
_space_group_IT_number 1
_space_group_name_Hall 'P 1'
loop_
_atom_site_label
_atom_site_type_symbol
_atom_site_fract_x
_atom_site_fract_y
_atom_site_fract_z
_atom_site_occupancy
Ni1 Ni 0.0216 0.0216 0.0216 1
Ni2 Ni 0.4784 0.9784 0.5216 1
Ni3 Ni 0.5216 0.4784 0.9784 1
Ni4 Ni 0.9784 0.5216 0.4784 1
Sb1 Sb 0.1320 0.6320 0.8680 1
Sb2 Sb 0.3680 0.3680 0.3680 1
Sb3 Sb 0.6320 0.8680 0.1320 1
Sb4 Sb 0.8680 0.1320 0.6320 1
S1 S 0.1203 0.8797 0.3797 1
S2 S 0.3797 0.1203 0.8797 1
S3 S 0.6203 0.6203 0.6203 1
S4 S 0.8797 0.3797 0.1203 1
```



VASP calculation (GGA-PBEsol) on NiSbS2 after structural relaxation.

Summary:
**Symmetry**: R-3m (166)
**E_form (uncorrected)**: 0.09 eV per atom

The structure in CIF format:
```
data_NiSbS2
_chemical_formula_sum 'Ni1 Sb1 S2'
_cell_length_a 7.3838
_cell_length_b 7.3838
_cell_length_c 7.3838
_cell_angle_alpha 30.75
_cell_angle_beta 30.75
_cell_angle_gamma 30.75
_space_group_name_H-M_alt 'P 1'
_space_group_IT_number 1
_space_group_name_Hall 'P 1'
loop_
_atom_site_label
_atom_site_type_symbol
_atom_site_fract_x
_atom_site_fract_y
_atom_site_fract_z
_atom_site_occupancy
Ni1 Ni 0.0000 0.0000 0.0000 1
Sb1 Sb 0.5000 0.5000 0.5000 1
S1 S 0.0970 0.0970 0.0970 1
S2 S 0.9030 0.9030 0.9030 1
```



VASP calculation (GGA-PBEsol) on ScNi3S after structural relaxation.

Summary:
**Symmetry**: Pm-3m (221)
**E_form (uncorrected)**: 1.25 eV per atom

The structure in CIF format:
```
data_ScNi3S
_chemical_formula_sum 'Sc1 Ni3 S1'
_cell_length_a 4.3499
_cell_length_b 4.3499
_cell_length_c 4.3499
_cell_angle_alpha 90.00
_cell_angle_beta 90.00
_cell_angle_gamma 90.00
_space_group_name_H-M_alt 'P 1'
_space_group_IT_number 1
_space_group_name_Hall 'P 1'
loop_
_atom_site_label
_atom_site_type_symbol
_atom_site_fract_x
_atom_site_fract_y
_atom_site_fract_z
_atom_site_occupancy
Sc1 Sc 0.0000 0.0000 0.0000 1
Ni1 Ni 0.0000 0.0000 0.5000 1
Ni2 Ni 0.0000 0.5000 0.0000 1
Ni3 Ni 0.5000 0.0000 0.0000 1
S1 S 0.5000 0.5000 0.5000 1
```



VASP calculation (GGA-PBEsol) on NiSeS after structural relaxation.

Summary:
**Symmetry**: P2_13 (198)
**E_form (uncorrected)**: -0.32 eV per atom

The structure in CIF format:
```
data_NiSeS
_chemical_formula_sum 'Ni4 Se4 S4'
_cell_length_a 5.6680
_cell_length_b 5.6680
_cell_length_c 5.6680
_cell_angle_alpha 90.00
_cell_angle_beta 90.00
_cell_angle_gamma 90.00
_space_group_name_H-M_alt 'P 1'
_space_group_IT_number 1
_space_group_name_Hall 'P 1'
loop_
_atom_site_label
_atom_site_type_symbol
_atom_site_fract_x
_atom_site_fract_y
_atom_site_fract_z
_atom_site_occupancy
Ni1 Ni 0.0114 0.0114 0.0114 1
Ni2 Ni 0.4886 0.9886 0.5114 1
Ni3 Ni 0.5114 0.4886 0.9886 1
Ni4 Ni 0.9886 0.5114 0.4886 1
Se1 Se 0.1223 0.6223 0.8777 1
Se2 Se 0.3777 0.3777 0.3777 1
Se3 Se 0.6223 0.8777 0.1223 1
Se4 Se 0.8777 0.1223 0.6223 1
S1 S 0.1171 0.8829 0.3829 1
S2 S 0.3829 0.1171 0.8829 1
S3 S 0.6171 0.6171 0.6171 1
S4 S 0.8829 0.3829 0.1171 1
```



VASP calculation (GGA-PBEsol) on NiSe3S after structural relaxation.

Summary:
**Symmetry**: Pm-3m (221)
**E_form (uncorrected)**: 0.95 eV per atom

The structure in CIF format:
```
data_NiSe3S
_chemical_formula_sum 'Ni1 Se3 S1'
_cell_length_a 4.7204
_cell_length_b 4.7204
_cell_length_c 4.7204
_cell_angle_alpha 90.00
_cell_angle_beta 90.00
_cell_angle_gamma 90.00
_space_group_name_H-M_alt 'P 1'
_space_group_IT_number 1
_space_group_name_Hall 'P 1'
loop_
_atom_site_label
_atom_site_type_symbol
_atom_site_fract_x
_atom_site_fract_y
_atom_site_fract_z
_atom_site_occupancy
Ni1 Ni 0.0000 0.0000 0.0000 1
Se1 Se 0.0000 0.5000 0.5000 1
Se2 Se 0.5000 0.0000 0.5000 1
Se3 Se 0.5000 0.5000 0.0000 1
S1 S 0.5000 0.5000 0.5000 1
```



VASP calculation (GGA-PBEsol) on Ta2NiSeS after structural relaxation.

Summary:
**Symmetry**: P4/mmm (123)
**E_form (uncorrected)**: 0.21 eV per atom

The structure in CIF format:
```
data_Ta2NiSeS
_chemical_formula_sum 'Ta2 Ni1 Se1 S1'
_cell_length_a 4.6434
_cell_length_b 4.6434
_cell_length_c 3.8742
_cell_angle_alpha 90.00
_cell_angle_beta 90.00
_cell_angle_gamma 90.00
_space_group_name_H-M_alt 'P 1'
_space_group_IT_number 1
_space_group_name_Hall 'P 1'
loop_
_atom_site_label
_atom_site_type_symbol
_atom_site_fract_x
_atom_site_fract_y
_atom_site_fract_z
_atom_site_occupancy
Ta1 Ta 0.0000 0.5000 0.0000 1
Ta2 Ta 0.5000 0.0000 0.0000 1
Ni1 Ni 0.0000 0.0000 0.5000 1
Se1 Se 0.5000 0.5000 0.5000 1
S1 S 0.0000 0.0000 0.0000 1
```